1.
Entry from Alexandria: a relaxed structure of NdZnH6Ru (PBE-GGA).

Cell lengths 4.604, 4.604, 4.464 Å; angles 90.00, 90.00, 120.00 degrees
Sites, in units of the cell vectors:
Nd  0.000  0.000  0.000
Zn  0.333  0.667  0.500
H  0.513  0.026  0.230
H  0.513  0.026  0.770
H  0.513  0.487  0.230
H  0.513  0.487  0.770
H  0.974  0.487  0.230
H  0.974  0.487  0.770
Ru  0.667  0.333  0.500

Density of states at the Fermi level   1.535 states/eV per cell
Space group   No. 187
Crystal system   hexagonal
Magnetic moment   0.0 μB per cell
Calculated total energy   -4.222 eV per atom

2.
Entry from Alexandria: a relaxed structure of Nd2ZnHRu (PBE-GGA).

Cell lengths 6.202, 4.352, 8.079 Å; angles 90.00, 110.85, 90.00 degrees
Sites, in units of the cell vectors:
Nd  0.217  0.250  0.453
Nd  0.234  0.250  0.927
Nd  0.766  0.750  0.073
Nd  0.783  0.750  0.547
Zn  0.346  0.750  0.225
Zn  0.654  0.250  0.775
H  0.150  0.750  0.790
H  0.850  0.250  0.210
Ru  0.387  0.750  0.723
Ru  0.613  0.250  0.277

Density of states at the Fermi level   7.815 states/eV per cell
Space group   No. 11
Crystal system   monoclinic
Magnetic moment   0.0 μB per cell
Calculated total energy   -5.033 eV per atom